1.
# CrCd2Br

A geometry-optimized CrCd2Br structure (PBE, Alexandria).

The calculation puts the total magnetization at 8.1 μB per cell. Its relative energy among the computed polymorphs is 0.0310 eV/atom.

The space group is Imm2 (No. 44) and the conventional cell measures 3.289, 4.788 and 12.848 Å, with angles of 90.00, 90.00 and 90.00 degrees. Symmetry generates all atoms from Cr at (0.000, 0.000, 0.000), Cd at (0.000, 0.000, 0.461), Cd at (0.000, 0.500, 0.314) and Br at (0.000, 0.500, 0.662).



2.
# CrCd3Br

A geometry-optimized CrCd3Br structure (PBE, Alexandria).

The calculation puts the total magnetization at 5.1 μB per cell. Its relative energy among the computed polymorphs is 0.5642 eV/atom.

The space group is Pm-3m (No. 221) and the conventional cell measures 5.673, 5.673 and 5.673 Å, with angles of 90.00, 90.00 and 90.00 degrees. Symmetry generates all atoms from Cr at (0.000, 0.000, 0.000), Cd at (0.000, 0.500, 0.500) and Br at (0.500, 0.500, 0.500).